Entry 1:
NaCaMg2Cu (GGA-PBE, relaxed); formation energy = 59 meV/atom; total moment = 0.00 μB/cell; DOS at the Fermi energy = 0.60 states/eV/atom; space-group type = P4/mmm (123)
1.0
5.112 0.000 0.000
0.000 5.112 0.000
0.000 0.000 5.458
Na Ca Mg Cu
1 1 2 1
Cartesian
0.000 0.000 0.000
2.556 2.556 0.000
0.000 2.556 2.729
2.556 0.000 2.729
2.556 2.556 2.729

***

Entry 2:
Ca2MgCu12Ni3 (GGA-PBE, relaxed); formation energy = 103 meV/atom; total moment = 0.00 μB/cell; DOS at the Fermi energy = 0.30 states/eV/atom; space-group type = R-3m (166)
1.0
4.260 2.460 4.075
-4.260 2.460 4.075
0.000 -4.919 4.075
Ca Mg Cu Ni
2 1 12 3
Cartesian
0.000 0.000 2.891
0.000 0.000 9.333
0.000 0.000 6.112
0.000 -2.753 3.285
-2.385 1.377 3.285
-2.081 -1.202 6.576
0.000 -2.403 5.649
-2.081 1.202 5.649
-2.385 -1.377 8.940
2.385 1.377 3.285
2.081 -1.202 6.576
0.000 2.403 6.576
2.081 1.202 5.649
2.385 -1.377 8.940
0.000 2.753 8.940
-2.130 -1.230 4.075
-2.130 1.230 8.150
0.000 2.460 4.075

***

Entry 3:
CaMg6CuO8 (GGA-PBE, relaxed); E above lowest polymorph = 0.0000 eV/atom; total moment = 0.59 μB/cell; DOS at the Fermi energy = 0.12 states/eV/atom; space-group type = P4/mmm (123); formation energy (no corrections) = -2.389 eV per atom
1.0
4.361 0.000 0.000
0.000 4.361 0.000
0.000 0.000 8.647
Ca Mg Cu O
1 6 1 8
Cartesian
0.000 0.000 0.000
0.000 0.000 4.323
0.000 2.181 2.204
0.000 2.181 6.443
2.181 0.000 2.204
2.181 0.000 6.443
2.181 2.181 4.323
2.181 2.181 0.000
0.000 0.000 2.286
0.000 0.000 6.361
0.000 2.181 0.000
0.000 2.181 4.323
2.181 0.000 0.000
2.181 0.000 4.323
2.181 2.181 2.185
2.181 2.181 6.462

***

Entry 4:
CaMg14CuO16 (GGA-PBE, relaxed); E above lowest polymorph = 0.0000 eV/atom; total moment = 0.29 μB/cell; DOS at the Fermi energy = 0.09 states/eV/atom; space-group type = Pmmm (47); formation energy (no corrections) = -2.545 eV per atom
1.0
4.310 0.000 0.000
0.000 8.513 0.000
0.000 0.000 8.695
Ca Mg Cu O
1 14 1 16
Cartesian
0.000 0.000 0.000
0.000 0.000 4.348
0.000 2.174 2.219
0.000 2.174 6.476
0.000 4.256 4.348
0.000 6.339 2.219
0.000 6.339 6.476
2.155 0.000 2.230
2.155 0.000 6.466
2.155 2.137 4.348
2.155 2.190 0.000
2.155 4.256 2.191
2.155 4.256 6.504
2.155 6.323 0.000
2.155 6.376 4.348
0.000 4.256 0.000
0.000 0.000 2.280
0.000 0.000 6.415
0.000 2.127 4.348
0.000 2.273 0.000
0.000 4.256 2.296
0.000 4.256 6.399
0.000 6.240 0.000
0.000 6.385 4.348
2.155 0.000 0.000
2.155 0.000 4.348
2.155 2.130 2.164
2.155 2.130 6.532
2.155 4.256 0.000
2.155 4.256 4.348
2.155 6.383 2.164
2.155 6.383 6.532